# VCrFeRe

A relaxed structure of VCrFeRe (PBE, Alexandria).

Properties
symmetry = No. 216
electronic total energy = -159.61 eV for the cell shown

```
VCrFeRe
1.0
5.9017 0.0000 0.0000
0.0000 5.9017 0.0000
0.0000 0.0000 5.9017
V Cr Fe Re
4 4 4 4
Cartesian
0.0000 0.0000 0.0000 V
0.0000 2.9509 2.9509 V
2.9509 0.0000 2.9509 V
2.9509 2.9509 0.0000 V
0.0000 0.0000 2.9509 Cr
0.0000 2.9509 0.0000 Cr
2.9509 0.0000 0.0000 Cr
2.9509 2.9509 2.9509 Cr
1.4754 1.4754 4.4263 Fe
1.4754 4.4263 1.4754 Fe
4.4263 1.4754 1.4754 Fe
4.4263 4.4263 4.4263 Fe
1.4754 1.4754 1.4754 Re
1.4754 4.4263 4.4263 Re
4.4263 1.4754 4.4263 Re
4.4263 4.4263 1.4754 Re
```

=====

# ZnCrFeRe

A relaxed structure of ZnCrFeRe (PBE, Alexandria).

Properties
symmetry = No. 216
electronic total energy = -124.15 eV for the cell shown

```
ZnCrFeRe
1.0
5.8789 0.0000 0.0000
0.0000 5.8789 0.0000
0.0000 0.0000 5.8789
Zn Cr Fe Re
4 4 4 4
Cartesian
0.0000 0.0000 0.0000 Zn
0.0000 2.9395 2.9395 Zn
2.9395 0.0000 2.9395 Zn
2.9395 2.9395 0.0000 Zn
1.4697 1.4697 4.4092 Cr
1.4697 4.4092 1.4697 Cr
4.4092 1.4697 1.4697 Cr
4.4092 4.4092 4.4092 Cr
1.4697 1.4697 1.4697 Fe
1.4697 4.4092 4.4092 Fe
4.4092 1.4697 4.4092 Fe
4.4092 4.4092 1.4697 Fe
0.0000 0.0000 2.9395 Re
0.0000 2.9395 0.0000 Re
2.9395 0.0000 0.0000 Re
2.9395 2.9395 2.9395 Re
```

=====

# Cr2FeRh

A relaxed structure of Cr2FeRh (PBE, Alexandria).

Properties
E above lowest polymorph = 0.024 eV per atom
symmetry = No. 65
electronic total energy = -69.59 eV for the cell shown

```
Cr2FeRh
1.0
5.1387 0.0000 0.0000
0.0000 7.3142 0.0000
0.0000 0.0000 2.5899
Cr Fe Rh
4 2 2
Cartesian
1.2847 1.8286 0.0000 Cr
1.2847 5.4857 0.0000 Cr
3.8540 1.8286 0.0000 Cr
3.8540 5.4857 0.0000 Cr
0.0000 0.0000 1.2950 Fe
2.5693 3.6571 1.2950 Fe
0.0000 3.6571 1.2950 Rh
2.5693 0.0000 1.2950 Rh
```

=====

# Cr2Fe3Rh4

A relaxed structure of Cr2Fe3Rh4 (PBE, Alexandria).

Properties
symmetry = No. 12
electronic total energy = -74.06 eV for the cell shown

```
Cr2Fe3Rh4
1.0
4.3336 -1.3511 0.0000
4.3336 1.3511 0.0000
-4.1993 0.0000 10.1307
Cr Fe Rh
2 3 4
Cartesian
-0.4313 0.0000 2.2723 Cr
4.8993 0.0000 7.8584 Cr
1.0089 0.0000 5.6266 Fe
4.3336 0.0000 0.0000 Fe
3.4590 0.0000 4.5041 Fe
-1.3354 0.0000 6.7037 Rh
1.9591 0.0000 1.1341 Rh
2.5088 0.0000 8.9966 Rh
5.8034 0.0000 3.4270 Rh
```

=====

# CrFeRh6

A relaxed structure of CrFeRh6 (PBE, Alexandria).

Properties
symmetry = No. 123
electronic total energy = -62.92 eV for the cell shown

```
CrFeRh6
1.0
3.7946 0.0000 0.0000
0.0000 3.7946 0.0000
0.0000 0.0000 7.6044
Cr Fe Rh
1 1 6
Cartesian
0.0000 0.0000 0.0000 Cr
0.0000 0.0000 3.8022 Fe
0.0000 1.8973 1.8767 Rh
0.0000 1.8973 5.7277 Rh
1.8973 0.0000 1.8767 Rh
1.8973 0.0000 5.7277 Rh
1.8973 1.8973 0.0000 Rh
1.8973 1.8973 3.8022 Rh
```

=====

# Cr2FeRh

A relaxed structure of Cr2FeRh (PBE, Alexandria).

Properties
E above lowest polymorph = 0.066 eV per atom
symmetry = No. 99
electronic total energy = -34.63 eV for the cell shown

```
Cr2FeRh
1.0
2.5934 0.0000 0.0000
0.0000 2.5934 0.0000
0.0000 0.0000 7.3141
Cr Fe Rh
2 1 1
Cartesian
0.0000 0.0000 0.0000 Cr
1.2967 1.2967 1.8336 Cr
0.0000 0.0000 3.5506 Fe
1.2967 1.2967 5.4822 Rh
```

=====

# CrFe4Rh

A relaxed structure of CrFe4Rh (PBE, Alexandria).

Properties
symmetry = No. 216
electronic total energy = -50.72 eV for the cell shown

```
CrFe4Rh
1.0
0.0000 3.3170 3.3170
3.3170 0.0000 3.3170
3.3170 3.3170 0.0000
Cr Fe Rh
1 4 1
Cartesian
0.0000 0.0000 0.0000 Cr
4.1448 2.4892 2.4892 Fe
2.4892 4.1448 2.4892 Fe
2.4892 2.4892 4.1448 Fe
4.1448 4.1448 4.1448 Fe
1.6585 1.6585 1.6585 Rh
```

=====

# CrFe2Rh2

A relaxed structure of CrFe2Rh2 (PBE, Alexandria).

Properties
E above lowest polymorph = 0.463 eV per atom
symmetry = No. 127
electronic total energy = -78.38 eV for the cell shown

```
CrFe2Rh2
1.0
7.0264 0.0000 0.0000
0.0000 7.0264 0.0000
0.0000 0.0000 2.6137
Cr Fe Rh
2 4 4
Cartesian
0.0000 0.0000 0.0000 Cr
3.5132 3.5132 0.0000 Cr
1.1870 2.3262 1.3068 Fe
2.3262 5.8394 1.3068 Fe
4.7002 1.1870 1.3068 Fe
5.8394 4.7002 1.3068 Fe
0.9163 4.4295 0.0000 Rh
2.5969 0.9163 0.0000 Rh
4.4295 6.1101 0.0000 Rh
6.1101 2.5969 0.0000 Rh
```

=====

# CrFe2Rh

A relaxed structure of CrFe2Rh (PBE, Alexandria).

Properties
symmetry = No. 225
electronic total energy = -129.66 eV for the cell shown

```
CrFe2Rh
1.0
5.7460 0.0000 0.0000
0.0000 5.7460 0.0000
0.0000 0.0000 5.7460
Cr Fe Rh
4 8 4
Cartesian
0.0000 0.0000 0.0000 Cr
0.0000 2.8730 2.8730 Cr
2.8730 0.0000 2.8730 Cr
2.8730 2.8730 0.0000 Cr
1.4365 1.4365 1.4365 Fe
1.4365 1.4365 4.3095 Fe
1.4365 4.3095 1.4365 Fe
1.4365 4.3095 4.3095 Fe
4.3095 1.4365 1.4365 Fe
4.3095 1.4365 4.3095 Fe
4.3095 4.3095 1.4365 Fe
4.3095 4.3095 4.3095 Fe
0.0000 0.0000 2.8730 Rh
0.0000 2.8730 0.0000 Rh
2.8730 0.0000 0.0000 Rh
2.8730 2.8730 2.8730 Rh
```

=====

# Cr2FeRh2

A relaxed structure of Cr2FeRh2 (PBE, Alexandria).

Properties
E above lowest polymorph = 0.152 eV per atom
symmetry = No. 127
electronic total energy = -81.39 eV for the cell shown

```
Cr2FeRh2
1.0
7.0566 0.0000 0.0000
0.0000 7.0566 0.0000
0.0000 0.0000 2.6653
Cr Fe Rh
4 2 4
Cartesian
1.1931 2.3352 0.0000 Cr
2.3352 5.8635 0.0000 Cr
4.7214 1.1931 0.0000 Cr
5.8635 4.7214 0.0000 Cr
0.0000 0.0000 1.3327 Fe
3.5283 3.5283 1.3327 Fe
0.9251 4.4534 1.3327 Rh
2.6032 0.9251 1.3327 Rh
4.4534 6.1315 1.3327 Rh
6.1315 2.6032 1.3327 Rh
```

=====

# Cr2FeRh

A relaxed structure of Cr2FeRh (PBE, Alexandria).

Properties
E above lowest polymorph = 0.101 eV per atom
symmetry = No. 123
electronic total energy = -34.48 eV for the cell shown

```
Cr2FeRh
1.0
2.8603 0.0000 0.0000
0.0000 2.8603 0.0000
0.0000 0.0000 6.0505
Cr Fe Rh
2 1 1
Cartesian
0.0000 0.0000 1.3503 Cr
0.0000 0.0000 4.7002 Cr
1.4301 1.4301 0.0000 Fe
1.4301 1.4301 3.0253 Rh
```

=====

# Cr2FeRh9

A relaxed structure of Cr2FeRh9 (PBE, Alexandria).

Properties
symmetry = No. 123
electronic total energy = -95.09 eV for the cell shown

```
Cr2FeRh9
1.0
3.7947 0.0000 0.0000
0.0000 3.7947 0.0000
0.0000 0.0000 11.4150
Cr Fe Rh
2 1 9
Cartesian
0.0000 0.0000 1.9283 Cr
0.0000 0.0000 9.4867 Cr
0.0000 0.0000 5.7075 Fe
0.0000 1.8973 0.0000 Rh
0.0000 1.8973 3.7824 Rh
0.0000 1.8973 7.6325 Rh
1.8973 0.0000 0.0000 Rh
1.8973 0.0000 3.7824 Rh
1.8973 0.0000 7.6325 Rh
1.8973 1.8973 1.8867 Rh
1.8973 1.8973 5.7075 Rh
1.8973 1.8973 9.5283 Rh
```

=====

# Cr2FeRh

A relaxed structure of Cr2FeRh (PBE, Alexandria).

Properties
E above lowest polymorph = 0.001 eV per atom
symmetry = No. 47
electronic total energy = -34.89 eV for the cell shown

```
Cr2FeRh
1.0
2.5967 0.0000 0.0000
0.0000 3.5623 0.0000
0.0000 0.0000 5.1996
Cr Fe Rh
2 1 1
Cartesian
0.0000 0.0000 1.1679 Cr
0.0000 0.0000 4.0317 Cr
1.2983 1.7812 0.0000 Fe
1.2983 1.7812 2.5998 Rh
```

=====

# Cr2FeRh

A relaxed structure of Cr2FeRh (PBE, Alexandria).

Properties
E above lowest polymorph = 0.000 eV per atom
symmetry = No. 47
electronic total energy = -34.89 eV for the cell shown

```
Cr2FeRh
1.0
3.6211 0.0000 0.0000
0.0000 3.6566 0.0000
0.0000 0.0000 3.6921
Cr Fe Rh
2 1 1
Cartesian
0.0000 0.0000 0.0000 Cr
1.8105 1.8283 0.0000 Cr
0.0000 1.8283 1.8461 Fe
1.8105 0.0000 1.8461 Rh
```

=====

# CrFe2Rh

A relaxed structure of CrFe2Rh (PBE, Alexandria).

Properties
symmetry = No. 122
electronic total energy = -128.40 eV for the cell shown

```
CrFe2Rh
1.0
3.5834 0.0000 0.0000
0.0000 3.5834 0.0000
0.0000 0.0000 17.2348
Cr Fe Rh
4 8 4
Cartesian
0.0000 0.0000 0.0000 Cr
0.0000 1.7917 4.3087 Cr
1.7917 0.0000 12.9261 Cr
1.7917 1.7917 8.6174 Cr
0.8617 0.8959 2.1544 Fe
0.8959 2.6534 6.4631 Fe
0.8959 2.7217 15.0805 Fe
0.9300 0.8959 10.7718 Fe
2.6534 2.6876 10.7718 Fe
2.6876 0.8617 15.0805 Fe
2.6876 0.9300 6.4631 Fe
2.7217 2.6876 2.1544 Fe
0.0000 0.0000 8.6174 Rh
0.0000 1.7917 12.9261 Rh
1.7917 0.0000 4.3087 Rh
1.7917 1.7917 0.0000 Rh
```

=====

# CrFeRh

A relaxed structure of CrFeRh (PBE, Alexandria).

Properties
E above lowest polymorph = 0.033 eV per atom
symmetry = No. 107
electronic total energy = -50.55 eV for the cell shown

```
CrFeRh
1.0
2.6199 0.0000 0.0000
0.0000 2.6199 0.0000
0.0000 0.0000 10.8924
Cr Fe Rh
2 2 2
Cartesian
0.0000 0.0000 0.0000 Cr
1.3099 1.3099 5.4462 Cr
0.0000 0.0000 7.1651 Fe
1.3099 1.3099 1.7189 Fe
0.0000 0.0000 3.6278 Rh
1.3099 1.3099 9.0740 Rh
```

=====

# CrFeRh5

A relaxed structure of CrFeRh5 (PBE, Alexandria).

Properties
symmetry = No. 15
electronic total energy = -106.85 eV for the cell shown

```
CrFeRh5
1.0
4.4755 -2.6881 0.0000
4.4755 2.6881 0.0000
-2.3856 0.0000 8.6829
Cr Fe Rh
2 2 10
Cartesian
2.2378 1.3441 0.0000 Cr
1.0450 -1.3441 4.3414 Cr
2.6864 1.9835 6.5122 Fe
3.8791 -1.9835 2.1707 Fe
0.4832 0.4003 6.3787 Rh
2.3286 0.9149 4.3992 Rh
1.6760 -0.4003 2.0372 Rh
3.8791 0.9345 2.1707 Rh
3.0441 0.9149 8.6251 Rh
3.5214 -0.9149 0.0577 Rh
2.6864 -0.9345 6.5122 Rh
4.8895 0.4003 6.6456 Rh
4.2369 -0.9149 4.2837 Rh
6.0823 -0.4003 2.3042 Rh
```

=====

# CrFeRh

A relaxed structure of CrFeRh (PBE, Alexandria).

Properties
E above lowest polymorph = 0.068 eV per atom
symmetry = No. 63
electronic total energy = -100.67 eV for the cell shown

```
CrFeRh
1.0
4.1855 0.0000 0.0000
0.0000 7.2636 0.0000
0.0000 0.0000 5.1253
Cr Fe Rh
4 4 4
Cartesian
0.0000 1.2068 1.2813 Cr
0.0000 6.0568 3.8440 Cr
2.0927 2.4250 3.8440 Cr
2.0927 4.8386 1.2813 Cr
0.0000 3.6318 0.0000 Fe
0.0000 3.6318 2.5627 Fe
2.0927 0.0000 0.0000 Fe
2.0927 0.0000 2.5627 Fe
0.0000 1.2120 3.8440 Rh
0.0000 6.0516 1.2813 Rh
2.0927 2.4198 1.2813 Rh
2.0927 4.8438 3.8440 Rh
```

=====

# CrFe4Rh5

A relaxed structure of CrFe4Rh5 (PBE, Alexandria).

Properties
symmetry = No. 123
electronic total energy = -80.46 eV for the cell shown

```
CrFe4Rh5
1.0
3.0886 0.0000 0.0000
0.0000 3.0886 0.0000
0.0000 0.0000 14.2020
Cr Fe Rh
1 4 5
Cartesian
0.0000 0.0000 0.0000 Cr
0.0000 0.0000 2.8225 Fe
0.0000 0.0000 5.6270 Fe
0.0000 0.0000 8.5750 Fe
0.0000 0.0000 11.3795 Fe
1.5443 1.5443 1.3827 Rh
1.5443 1.5443 4.2263 Rh
1.5443 1.5443 7.1010 Rh
1.5443 1.5443 9.9757 Rh
1.5443 1.5443 12.8193 Rh
```

=====

# CrFeRh

A relaxed structure of CrFeRh (PBE, Alexandria).

Properties
E above lowest polymorph = 0.070 eV per atom
symmetry = No. 156
electronic total energy = -25.16 eV for the cell shown

```
CrFeRh
1.0
2.6259 0.0000 0.0000
-1.3129 2.2741 0.0000
0.0000 0.0000 6.3024
Cr Fe Rh
1 1 1
Cartesian
0.0000 0.0000 0.0000 Cr
1.3129 0.7580 1.9840 Fe
0.0000 1.5160 4.1640 Rh
```

=====

Number 1: energy of formation from the pure elements -0.249 eV per formula unit. Number 2: energy of formation from the pure elements 0.771 eV per formula unit. Number 3: energy of formation from the pure elements 0.267 eV per formula unit. Number 4: energy of formation from the pure elements -0.019 eV per formula unit. Number 5: energy of formation from the pure elements -0.726 eV per formula unit. Number 6: energy of formation from the pure elements 0.435 eV per formula unit. Number 7: energy of formation from the pure elements 0.110 eV per formula unit. Number 8: energy of formation from the pure elements 2.061 eV per formula unit. Number 9: energy of formation from the pure elements 1.485 eV per formula unit. Number 10: energy of formation from the pure elements 1.716 eV per formula unit. Number 11: energy of formation from the pure elements 0.577 eV per formula unit. Number 12: energy of formation from the pure elements -1.215 eV per formula unit. Number 13: energy of formation from the pure elements 0.174 eV per formula unit. Number 14: energy of formation from the pure elements 0.171 eV per formula unit. Number 15: energy of formation from the pure elements 1.799 eV per formula unit. Number 16: energy of formation from the pure elements 0.163 eV per formula unit. Number 17: energy of formation from the pure elements 1.416 eV per formula unit. Number 18: energy of formation from the pure elements 0.269 eV per formula unit. Number 19: energy of formation from the pure elements -0.233 eV per formula unit. Number 20: energy of formation from the pure elements 0.275 eV per formula unit.